CaVRhO5: relaxed, GGA+U.

POSCAR file:
```
CaVRhO5
1.0
5.6954 0.0083 -0.0191
-1.6546 5.4497 -0.0191
-1.7034 -2.3009 6.6468
Ca V Rh O
2 2 2 10
Direct
0.3303 0.6697 0.2500
0.6697 0.3303 0.7500
0.6810 0.3190 0.2500
0.3190 0.6810 0.7500
0.0000 0.0000 0.5000
0.0000 0.0000 0.0000
0.0849 0.9151 0.2500
0.9151 0.0849 0.7500
0.9070 0.3219 0.1186
0.0930 0.6781 0.8814
0.6781 0.0930 0.3814
0.3219 0.9070 0.6186
0.7434 0.6233 0.4249
0.2566 0.3767 0.5751
0.3767 0.2566 0.0751
0.6233 0.7434 0.9249
```

Symmetry   C2/c
Total magnetic moment   1.9 μB/cell
E_tot   -7.025 eV/atom
Fermi-level density of states   3.255 states/eV per cell